1.
Crystalline Te2RhN at its relaxed geometry. Source: Alexandria, functional PBE-GGA.

E_form (uncorrected)   1.0122 eV/atom
Crystal system   trigonal
Calculated total energy   -0.1646 Ha/atom
N(E_F)   2.5 states/eV/cell
SG   No. 166

Unit cell a=8.6191 b=8.6191 c=8.6191 alpha=21.54 beta=21.54 gamma=21.54
Last column: nearest neighbours and their distance in Å.
Fractional positions:
Te1 0.8989 0.8989 0.8989  3 N 2.49, 1 Rh 2.55
Te2 0.1011 0.1011 0.1011  3 N 2.49, 1 Rh 2.55
Rh1 0.0000 0.0000 0.0000  2 Te 2.55
N1 0.5000 0.5000 0.5000  6 Te 2.49



2.
Crystalline TeRhN2 at its relaxed geometry. Source: Alexandria, functional PBE-GGA.

E_form (uncorrected)   1.0253 eV/atom
Crystal system   tetragonal
Calculated total energy   -0.2117 Ha/atom
N(E_F)   5.4 states/eV/cell
SG   No. 122

Unit cell a=5.4811 b=5.4811 c=5.6302 alpha=60.87 beta=60.87 gamma=90.00
Last column: nearest neighbours and their distance in Å.
Fractional positions:
N1 0.5585 0.1250 0.2500  2 Rh 1.98
N2 0.1915 0.6250 0.2500  2 Rh 1.98
N3 0.3750 0.4415 0.7500  2 Rh 1.98
N4 0.8750 0.8085 0.7500  2 Rh 1.98
Te1 0.7500 0.2500 0.5000  4 N 2.44
Te2 0.0000 0.0000 0.0000  4 N 2.44
Rh1 0.5000 0.5000 0.0000  4 N 1.98
Rh2 0.2500 0.7500 0.5000  4 N 1.98



3.
Crystalline TeRhN3 at its relaxed geometry. Source: Alexandria, functional PBE-GGA.

E_form (uncorrected)   2.0346 eV/atom
Crystal system   cubic
Calculated total energy   -0.1859 Ha/atom
N(E_F)   5.9 states/eV/cell
SG   No. 221

Unit cell a=3.9377 b=3.9377 c=3.9377 alpha=90.00 beta=90.00 gamma=90.00
Last column: nearest neighbours and their distance in Å.
Fractional positions:
N1 0.0000 0.5000 0.0000  2 Te 1.97
N2 0.5000 0.0000 0.0000  2 Te 1.97
N3 0.0000 0.0000 0.5000  2 Te 1.97
Te1 0.0000 0.0000 0.0000  6 N 1.97
Rh1 0.5000 0.5000 0.5000  12 N 2.78



4.
Crystalline Te2RhN at its relaxed geometry. Source: Alexandria, functional PBE-GGA.

E_form (uncorrected)   0.3424 eV/atom
Crystal system   triclinic
Calculated total energy   -0.1892 Ha/atom
N(E_F)   3.6 states/eV/cell
SG   No. 2

Unit cell a=4.0401 b=12.1487 c=4.8561 alpha=81.34 beta=128.57 gamma=85.93
Last column: nearest neighbours and their distance in Å.
Fractional positions:
Te1 0.8296 0.0871 0.6738  2 Rh 2.65-2.89, 1 Te 2.92
Te2 0.4806 0.6201 0.7150  1 N 2.10
Te3 0.1704 0.9129 0.3262  2 Rh 2.65-2.89, 1 Te 2.92
Te4 0.5194 0.3799 0.2850  1 N 2.10
Rh1 0.7200 0.7524 0.4013  2 N 1.97-2.03
Rh2 0.2800 0.2476 0.5987  2 N 1.97-2.03
N1 0.2996 0.7366 0.9001  2 Rh 1.97-2.03, 1 Te 2.10
N2 0.7004 0.2634 0.0999  2 Rh 1.97-2.03, 1 Te 2.10



5.
Crystalline Te3RhN at its relaxed geometry. Source: Alexandria, functional PBE-GGA.

E_form (uncorrected)   0.9123 eV/atom
Crystal system   cubic
Excess energy over the best structure of this formula in the dataset   0.00 eV/f.u.
Calculated total energy   -0.1510 Ha/atom
N(E_F)   4.8 states/eV/cell
SG   No. 221

Unit cell a=4.6659 b=4.6659 c=4.6659 alpha=90.00 beta=90.00 gamma=90.00
Last column: nearest neighbours and their distance in Å.
Fractional positions:
Te1 0.0000 0.0000 0.5000  2 N 2.33
Te2 0.5000 0.0000 0.0000  2 N 2.33
Te3 0.0000 0.5000 0.0000  2 N 2.33
N1 0.0000 0.0000 0.0000  6 Te 2.33
Rh1 0.5000 0.5000 0.5000  12 Te 3.30



6.
Crystalline TeRhN3 at its relaxed geometry. Source: Alexandria, functional PBE-GGA.

E_form (uncorrected)   1.5695 eV/atom
Crystal system   cubic
Calculated total energy   -0.2030 Ha/atom
N(E_F)   3.7 states/eV/cell
SG   No. 221

Unit cell a=3.9308 b=3.9308 c=3.9308 alpha=90.00 beta=90.00 gamma=90.00
Last column: nearest neighbours and their distance in Å.
Fractional positions:
N1 0.0000 0.5000 0.0000  2 Rh 1.97
N2 0.5000 0.0000 0.0000  2 Rh 1.97
N3 0.0000 0.0000 0.5000  2 Rh 1.97
Te1 0.5000 0.5000 0.5000  12 N 2.78
Rh1 0.0000 0.0000 0.0000  6 N 1.97



7.
Crystalline Te2RhN at its relaxed geometry. Source: Alexandria, functional PBE-GGA.

E_form (uncorrected)   0.5369 eV/atom
Crystal system   tetragonal
Calculated total energy   -0.1820 Ha/atom
N(E_F)   2.6 states/eV/cell
SG   No. 122

Unit cell a=5.5598 b=5.5598 c=6.9350 alpha=66.37 beta=66.37 gamma=90.00
Last column: nearest neighbours and their distance in Å.
Fractional positions:
Te1 0.8750 0.8408 0.7500  2 N 2.33, 2 Rh 2.54
Te2 0.3750 0.4092 0.7500  2 N 2.33, 2 Rh 2.54
Te3 0.1592 0.6250 0.2500  2 N 2.33, 2 Rh 2.54
Te4 0.5908 0.1250 0.2500  2 N 2.33, 2 Rh 2.54
N1 0.2500 0.7500 0.5000  4 Te 2.33
N2 0.5000 0.5000 0.0000  4 Te 2.33
Rh1 0.0000 0.0000 0.0000  4 Te 2.54
Rh2 0.7500 0.2500 0.5000  4 Te 2.54



8.
Crystalline Te2RhN at its relaxed geometry. Source: Alexandria, functional PBE-GGA.

E_form (uncorrected)   0.4054 eV/atom
Crystal system   trigonal
Calculated total energy   -0.1869 Ha/atom
N(E_F)   1.6 states/eV/cell
SG   No. 166

Unit cell a=6.7599 b=6.7599 c=6.7599 alpha=35.84 beta=35.84 gamma=35.84
Last column: nearest neighbours and their distance in Å.
Fractional positions:
Rh1 0.5000 0.5000 0.5000  6 Te 2.70
Te1 0.8985 0.8985 0.8985  1 N 1.92
Te2 0.1015 0.1015 0.1015  1 N 1.92
N1 0.0000 0.0000 0.0000  2 Te 1.92



9.
Crystalline TiTe2RhN at its relaxed geometry. Source: Alexandria, functional PBE-GGA.

E_form (uncorrected)   0.3683 eV/atom
Crystal system   tetragonal
Excess energy over the best structure of this formula in the dataset   0.38 eV/f.u.
Calculated total energy   -0.2059 Ha/atom
N(E_F)   6.0 states/eV/cell
SG   No. 123

Unit cell a=5.4222 b=3.6560 c=5.4222 alpha=90.00 beta=90.00 gamma=90.00
Last column: nearest neighbours and their distance in Å.
Fractional positions:
N1 0.0000 0.5000 0.0000  2 Rh 1.83
Te1 0.5000 0.0000 0.0000  2 Rh 2.71
Te2 0.0000 0.0000 0.5000  2 Rh 2.71
Rh1 0.0000 0.0000 0.0000  2 N 1.83
Ti1 0.5000 0.5000 0.5000  8 Te 3.27, 2 Ti 3.66



10.
Crystalline TiTe2RhN at its relaxed geometry. Source: Alexandria, functional PBE-GGA.

E_form (uncorrected)   0.2916 eV/atom
Crystal system   tetragonal
Excess energy over the best structure of this formula in the dataset   0.00 eV/f.u.
Calculated total energy   -0.2087 Ha/atom
N(E_F)   5.9 states/eV/cell
SG   No. 123

Unit cell a=5.4109 b=5.4109 c=3.6370 alpha=90.00 beta=90.00 gamma=90.00
Last column: nearest neighbours and their distance in Å.
Fractional positions:
Te1 0.5000 0.0000 0.0000  2 Ti 2.71
Te2 0.0000 0.5000 0.0000  2 Ti 2.71
Rh1 0.5000 0.5000 0.5000  8 Te 3.26, 2 Rh 3.64
N1 0.0000 0.0000 0.5000  2 Ti 1.82
Ti1 0.0000 0.0000 0.0000  2 N 1.82



11.
Crystalline TiTeRhN2 at its relaxed geometry. Source: Alexandria, functional PBE-GGA.

E_form (uncorrected)   0.5636 eV/atom
Crystal system   tetragonal
Excess energy over the best structure of this formula in the dataset   0.00 eV/f.u.
Calculated total energy   -0.2368 Ha/atom
N(E_F)   5.2 states/eV/cell
SG   No. 123

Unit cell a=3.8525 b=3.8525 c=5.8333 alpha=90.00 beta=90.00 gamma=90.00
Last column: nearest neighbours and their distance in Å.
Fractional positions:
N1 0.0000 0.5000 0.0000  2 Ti 1.93
N2 0.5000 0.0000 0.0000  2 Ti 1.93
Rh1 0.5000 0.5000 0.5000  4 Te 2.72
Ti1 0.0000 0.0000 0.0000  4 N 1.93
Te1 0.0000 0.0000 0.5000  4 Rh 2.72, 2 Ti 2.92



12.
Crystalline TiTeRhN2 at its relaxed geometry. Source: Alexandria, functional PBE-GGA.

E_form (uncorrected)   1.0008 eV/atom
Crystal system   tetragonal
Excess energy over the best structure of this formula in the dataset   2.19 eV/f.u.
Calculated total energy   -0.2207 Ha/atom
N(E_F)   5.5 states/eV/cell
SG   No. 123

Unit cell a=3.8256 b=3.8256 c=6.2177 alpha=90.00 beta=90.00 gamma=90.00
Last column: nearest neighbours and their distance in Å.
Fractional positions:
Rh1 0.0000 0.0000 0.0000  4 N 1.91
Te1 0.0000 0.0000 0.5000  4 Ti 2.71
N1 0.0000 0.5000 0.0000  2 Rh 1.91
N2 0.5000 0.0000 0.0000  2 Rh 1.91
Ti1 0.5000 0.5000 0.5000  4 Te 2.71